Density functional theory data (PBE) for a relaxed Rb2ScInSe4 crystal.

Values from the calculation:
N(E_F), states/eV per cell: 2.194
Crystal system: orthorhombic
Total magnetic moment, μB/atom: 0.000
Energy, eV per atom: -4.2313
Formation energy without anion corrections, eV per atom: -1.11

Cell lengths 8.691, 8.691, 8.521 Å; angles 119.35, 119.35, 90.63 degrees
Fractional positions:
Rb1 0.500 0.000 0.000
Rb2 0.500 0.000 0.500
Rb3 0.000 0.000 0.500
Rb4 0.500 0.500 0.000
Sc1 0.000 0.500 0.000
Sc2 0.000 0.500 0.500
In1 0.500 0.500 0.500
In2 0.000 0.000 0.000
Se1 0.193 0.722 0.957
Se2 0.778 0.307 0.543
Se3 0.222 0.693 0.457
Se4 0.807 0.278 0.043
Se5 0.772 0.728 0.964
Se6 0.772 0.728 0.536
Se7 0.228 0.272 0.464
Se8 0.228 0.272 0.036

***

Density functional theory data (PBE) for a relaxed RbScInSe3 crystal.

Values from the calculation:
N(E_F), states/eV per cell: 4.174
Crystal system: monoclinic
Total magnetic moment, μB/atom: 0.000
Energy, eV per atom: -4.6102
Formation energy without anion corrections, eV per atom: -1.19

Cell lengths 3.985, 8.872, 11.068 Å; angles 109.42, 90.00, 90.00 degrees
Fractional positions:
Rb1 0.250 0.221 0.261
Rb2 0.750 0.779 0.739
Sc1 0.250 0.635 0.142
Sc2 0.750 0.365 0.858
In1 0.250 0.135 0.583
In2 0.750 0.865 0.417
Se1 0.750 0.867 0.179
Se2 0.250 0.133 0.821
Se3 0.250 0.655 0.404
Se4 0.750 0.345 0.596
Se5 0.750 0.418 0.110
Se6 0.250 0.582 0.890

***

Density functional theory data (PBE) for a relaxed Rb2Sc2InTe6 crystal.

Values from the calculation:
N(E_F), states/eV per cell: 4.593
Crystal system: monoclinic
Total magnetic moment, μB/atom: 0.000
Energy, eV per atom: -4.2091
Formation energy without anion corrections, eV per atom: -0.92

Cell lengths 7.307, 7.307, 9.273 Å; angles 97.33, 97.33, 120.68 degrees
Fractional positions:
Rb1 0.837 0.163 0.000
Rb2 0.163 0.837 0.000
Sc1 0.331 0.669 0.500
Sc2 0.669 0.331 0.500
In1 0.000 0.000 0.500
Te1 0.718 0.718 0.689
Te2 0.066 0.407 0.692
Te3 0.282 0.282 0.311
Te4 0.407 0.066 0.692
Te5 0.934 0.593 0.308
Te6 0.593 0.934 0.308

***

Question: Which formula does entry 1 have?
Answer: Rb2ScInSe4